Entry 1:
Tl6PbI10 | PBEsol | relaxed

```
data_Tl6PbI10
_chemical_formula_sum 'Tl12 Pb2 I20'
_cell_length_a 10.3862
_cell_length_b 10.3862
_cell_length_c 13.0905
_cell_angle_alpha 90.00
_cell_angle_beta 90.00
_cell_angle_gamma 120.00
_symmetry_space_group_name_H-M 'P 3 1 c'
_symmetry_Int_Tables_number 159
loop_
_symmetry_equiv_pos_as_xyz
'x,y,z'
'-y,x-y,z'
'-x+y,-x,z'
'y,x,z+1/2'
'x-y,-y,z+1/2'
'-x,-x+y,z+1/2'
loop_
_atom_site_label
_atom_site_type_symbol
_atom_site_fract_x
_atom_site_fract_y
_atom_site_fract_z
_atom_site_occupancy
Tl1 Tl 0.0011 0.3749 0.0000 1
Tl2 Tl 0.0256 0.6348 0.2480 1
Pb1 Pb 0.0000 0.0000 0.1244 1
I1 I 0.9998 0.7384 0.9985 1
I2 I 0.0039 0.2641 0.7501 1
I3 I 0.3333 0.6667 0.1083 1
I4 I 0.3333 0.6667 0.3919 1
I5 I 0.3333 0.6667 0.6366 1
I6 I 0.3333 0.6667 0.8595 1
```

E_form (uncorrected) (eV per formula unit): -9.1
Electronic total energy (eV/atom): -2.74

---

Entry 2:
Tl3PbI5 | PBEsol | relaxed

```
data_Tl3PbI5
_chemical_formula_sum 'Tl12 Pb4 I20'
_cell_length_a 8.780
_cell_length_b 9.496
_cell_length_c 15.869
_cell_angle_alpha 90.00
_cell_angle_beta 90.00
_cell_angle_gamma 90.00
_symmetry_space_group_name_H-M 'P 21 21 21'
_symmetry_Int_Tables_number 19
loop_
_symmetry_equiv_pos_as_xyz
'x,y,z'
'-x+1/2,-y,z+1/2'
'x+1/2,-y+1/2,-z'
'-x,y+1/2,-z+1/2'
loop_
_atom_site_label
_atom_site_type_symbol
_atom_site_fract_x
_atom_site_fract_y
_atom_site_fract_z
_atom_site_occupancy
Tl1 Tl 0.059 0.095 0.288 1
Tl2 Tl 0.072 0.168 0.975 1
Tl3 Tl 0.219 0.702 0.055 1
Pb1 Pb 0.074 0.540 0.793 1
I1 I 0.083 0.855 0.867 1
I2 I 0.087 0.998 0.523 1
I3 I 0.094 0.439 0.390 1
I4 I 0.226 0.345 0.146 1
I5 I 0.233 0.214 0.778 1
```

E_form (uncorrected) (eV per formula unit): -5.3
Electronic total energy (eV/atom): -2.89

---

Entry 3:
Tl2PbI2 | PBEsol | relaxed

```
data_Tl2PbI2
_chemical_formula_sum 'Tl4 Pb2 I4'
_cell_length_a 6.453
_cell_length_b 6.453
_cell_length_c 9.125
_cell_angle_alpha 90.00
_cell_angle_beta 90.00
_cell_angle_gamma 90.00
_symmetry_space_group_name_H-M 'I 4/m m m'
_symmetry_Int_Tables_number 139
_symmetry_space_group_name_Hall '-I 4 2'
loop_
_atom_site_label
_atom_site_type_symbol
_atom_site_fract_x
_atom_site_fract_y
_atom_site_fract_z
_atom_site_occupancy
Tl1 Tl 0.000 0.000 0.164 1
Pb1 Pb 0.000 0.000 0.500 1
I1 I 0.000 0.500 0.250 1
```

E_form (uncorrected) (eV per formula unit): -0.4
Electronic total energy (eV/atom): -2.64

---

Entry 4:
PdI2 | PBEsol | relaxed

```
data_PdI2
_chemical_formula_sum 'Pd4 I8'
_cell_length_a 6.779
_cell_length_b 8.233
_cell_length_c 6.815
_cell_angle_alpha 90.00
_cell_angle_beta 106.21
_cell_angle_gamma 90.00
_symmetry_space_group_name_H-M 'P 1 21/c 1'
_symmetry_Int_Tables_number 14
loop_
_symmetry_equiv_pos_as_xyz
'x,y,z'
'-x,-y,-z'
'-x,y+1/2,-z+1/2'
'x,-y+1/2,z+1/2'
loop_
_atom_site_label
_atom_site_type_symbol
_atom_site_fract_x
_atom_site_fract_y
_atom_site_fract_z
_atom_site_occupancy
Pd1 Pd 0.243 0.125 0.005 1
I1 I 0.012 0.599 0.272 1
I2 I 0.466 0.153 0.749 1
```

E_form (uncorrected) (eV per formula unit): -0.7
Electronic total energy (eV/atom): -3.39

---

Entry 5:
Rb2PdI6 | PBEsol | relaxed

```
data_Rb2PdI6
_chemical_formula_sum 'Rb8 Pd4 I24'
_cell_length_a 7.759
_cell_length_b 12.254
_cell_length_c 14.225
_cell_angle_alpha 90.00
_cell_angle_beta 90.00
_cell_angle_gamma 90.00
_symmetry_space_group_name_H-M 'P n m a'
_symmetry_Int_Tables_number 62
loop_
_symmetry_equiv_pos_as_xyz
'x,y,z'
'-x,-y,-z'
'-x+1/2,-y,z+1/2'
'x+1/2,y,-z+1/2'
'x+1/2,-y+1/2,-z+1/2'
'-x+1/2,y+1/2,z+1/2'
'-x,y+1/2,-z'
'x,-y+1/2,z'
loop_
_atom_site_label
_atom_site_type_symbol
_atom_site_fract_x
_atom_site_fract_y
_atom_site_fract_z
_atom_site_occupancy
Rb1 Rb 0.216 0.010 0.140 1
Pd1 Pd 0.234 0.250 0.398 1
I1 I 0.013 0.250 0.785 1
I2 I 0.032 0.250 0.006 1
I3 I 0.032 0.750 0.716 1
I4 I 0.043 0.250 0.582 1
I5 I 0.229 0.035 0.394 1
```

E_form (uncorrected) (eV per formula unit): -6.8
Electronic total energy (eV/atom): -2.82

---

Entry 6:
Rb2PdI6 | PBEsol | relaxed

```
data_Rb2PdI6
_chemical_formula_sum 'Rb8 Pd4 I24'
_cell_length_a 11.032
_cell_length_b 11.032
_cell_length_c 11.032
_cell_angle_alpha 90.00
_cell_angle_beta 90.00
_cell_angle_gamma 90.00
_symmetry_space_group_name_H-M 'F m -3 m'
_symmetry_Int_Tables_number 225
_symmetry_space_group_name_Hall '-F 4 2 3'
loop_
_atom_site_label
_atom_site_type_symbol
_atom_site_fract_x
_atom_site_fract_y
_atom_site_fract_z
_atom_site_occupancy
Rb1 Rb 0.250 0.250 0.250 1
Pd1 Pd 0.000 0.000 0.000 1
I1 I 0.000 0.000 0.243 1
```

E_form (uncorrected) (eV per formula unit): -6.7
Electronic total energy (eV/atom): -2.81

---

Entry 7:
Rb2SbPdI | PBEsol | relaxed

```
data_Rb2SbPdI
_chemical_formula_sum 'Rb2 Sb1 Pd1 I1'
_cell_length_a 6.528
_cell_length_b 6.528
_cell_length_c 5.900
_cell_angle_alpha 90.00
_cell_angle_beta 90.00
_cell_angle_gamma 90.00
_symmetry_space_group_name_H-M 'P 4/m m m'
_symmetry_Int_Tables_number 123
_symmetry_space_group_name_Hall '-P 4 2'
loop_
_atom_site_label
_atom_site_type_symbol
_atom_site_fract_x
_atom_site_fract_y
_atom_site_fract_z
_atom_site_occupancy
Rb1 Rb 0.000 0.500 0.000 1
Sb1 Sb 0.000 0.000 0.500 1
Pd1 Pd 0.500 0.500 0.500 1
I1 I 0.000 0.000 0.000 1
```

E_form (uncorrected) (eV per formula unit): 2.0
Electronic total energy (eV/atom): -2.46

---

Entry 8:
RbTaPd2I | PBEsol | relaxed

```
data_RbTaPd2I
_chemical_formula_sum 'Rb1 Ta1 Pd2 I1'
_cell_length_a 5.078
_cell_length_b 5.078
_cell_length_c 5.114
_cell_angle_alpha 90.00
_cell_angle_beta 90.00
_cell_angle_gamma 90.00
_symmetry_space_group_name_H-M 'P 4/m m m'
_symmetry_Int_Tables_number 123
_symmetry_space_group_name_Hall '-P 4 2'
loop_
_atom_site_label
_atom_site_type_symbol
_atom_site_fract_x
_atom_site_fract_y
_atom_site_fract_z
_atom_site_occupancy
Rb1 Rb 0.000 0.000 0.000 1
Ta1 Ta 0.500 0.500 0.000 1
Pd1 Pd 0.000 0.500 0.500 1
I1 I 0.500 0.500 0.500 1
```

E_form (uncorrected) (eV per formula unit): 5.5
Electronic total energy (eV/atom): -4.35

---

Entry 9:
RbTe2PdI | PBEsol | relaxed

```
data_RbTe2PdI
_chemical_formula_sum 'Rb1 Te2 Pd1 I1'
_cell_length_a 6.444
_cell_length_b 6.444
_cell_length_c 6.409
_cell_angle_alpha 90.00
_cell_angle_beta 90.00
_cell_angle_gamma 90.00
_symmetry_space_group_name_H-M 'P 4/m m m'
_symmetry_Int_Tables_number 123
_symmetry_space_group_name_Hall '-P 4 2'
loop_
_atom_site_label
_atom_site_type_symbol
_atom_site_fract_x
_atom_site_fract_y
_atom_site_fract_z
_atom_site_occupancy
Rb1 Rb 0.000 0.000 0.000 1
Te1 Te 0.000 0.500 0.000 1
Pd1 Pd 0.500 0.500 0.500 1
I1 I 0.000 0.000 0.500 1
```

E_form (uncorrected) (eV per formula unit): 6.2
Electronic total energy (eV/atom): -1.92

---

Entry 10:
RbTePdI2 | PBEsol | relaxed

```
data_RbTePdI2
_chemical_formula_sum 'Rb1 Te1 Pd1 I2'
_cell_length_a 6.550
_cell_length_b 6.550
_cell_length_c 6.493
_cell_angle_alpha 90.00
_cell_angle_beta 90.00
_cell_angle_gamma 90.00
_symmetry_space_group_name_H-M 'P 4/m m m'
_symmetry_Int_Tables_number 123
_symmetry_space_group_name_Hall '-P 4 2'
loop_
_atom_site_label
_atom_site_type_symbol
_atom_site_fract_x
_atom_site_fract_y
_atom_site_fract_z
_atom_site_occupancy
Rb1 Rb 0.000 0.000 0.000 1
Te1 Te 0.000 0.000 0.500 1
Pd1 Pd 0.500 0.500 0.500 1
I1 I 0.000 0.500 0.000 1
```

E_form (uncorrected) (eV per formula unit): 4.6
Electronic total energy (eV/atom): -1.88

---

Entry 11:
RePdI3 | PBEsol | relaxed

```
data_RePdI3
_chemical_formula_sum 'Re1 Pd1 I3'
_cell_length_a 5.374
_cell_length_b 5.374
_cell_length_c 5.374
_cell_angle_alpha 90.00
_cell_angle_beta 90.00
_cell_angle_gamma 90.00
_symmetry_space_group_name_H-M 'P m -3 m'
_symmetry_Int_Tables_number 221
_symmetry_space_group_name_Hall '-P 4 2 3'
loop_
_atom_site_label
_atom_site_type_symbol
_atom_site_fract_x
_atom_site_fract_y
_atom_site_fract_z
_atom_site_occupancy
Re1 Re 0.000 0.000 0.000 1
Pd1 Pd 0.500 0.500 0.500 1
I1 I 0.000 0.500 0.500 1
```

E_form (uncorrected) (eV per formula unit): 6.3
Electronic total energy (eV/atom): -3.66

---

Entry 12:
Tc2PdRhI | PBEsol | relaxed

```
data_Tc2PdRhI
_chemical_formula_sum 'Tc2 Pd1 Rh1 I1'
_cell_length_a 4.712
_cell_length_b 4.712
_cell_length_c 4.713
_cell_angle_alpha 90.00
_cell_angle_beta 90.00
_cell_angle_gamma 90.00
_symmetry_space_group_name_H-M 'P 4/m m m'
_symmetry_Int_Tables_number 123
_symmetry_space_group_name_Hall '-P 4 2'
loop_
_atom_site_label
_atom_site_type_symbol
_atom_site_fract_x
_atom_site_fract_y
_atom_site_fract_z
_atom_site_occupancy
Tc1 Tc 0.000 0.500 0.000 1
Pd1 Pd 0.000 0.000 0.500 1
Rh1 Rh 0.500 0.500 0.500 1
I1 I 0.000 0.000 0.000 1
```

E_form (uncorrected) (eV per formula unit): 10.7
Electronic total energy (eV/atom): -5.54